# NpNiSnRu

An optimized crystal structure of NpNiSnRu (PBE, Alexandria via LeMat-Bulk).

## Properties
Its total DFT energy (no corrections) is -8.071 eV/atom.

abc: 4.657 4.657 4.657
angles: 60.00 60.00 60.00
Fractional positions:
Ni (0.250, 0.250, 0.250)
Ru (0.750, 0.750, 0.750)
Sn (0.000, 0.000, 0.000)
Np (0.500, 0.500, 0.500)